A plane-wave DFT calculation with GGA-PBE was carried out for Cs2KAgH after structural relaxation.

Unit cell a=6.177 b=6.177 c=5.532 alpha=90.00 beta=90.00 gamma=90.00
Space group P4/mmm (No. 123)
Unique sites:
1 Cs 0.000 0.500 0.000 x2
2 K 0.000 0.000 0.500 x1
3 Ag 0.500 0.500 0.500 x1
4 H 0.000 0.000 0.000 x1

## Properties
For the volume, the calculation gives 211.1 Å³/cell. The electronic total energy comes out at -1.790 eV/atom.